Record 1
# Ba5Tl4 (PBEsol, relaxed)
# Uncorrected energy   -2.67 eV per atom
# SG   P6_3/mcm
# Mass density   7.11 Mg/m³
# Total magnetization   0.003 Bohr magnetons per cell
data_Ba5Tl4
_chemical_formula_sum 'Ba10 Tl8'
_symmetry_space_group_name_H-M 'P 1'
_symmetry_Int_Tables_number 1
_symmetry_space_group_name_Hall 'P 1'
_cell_length_a 7.647
_cell_length_b 10.298
_cell_length_c 10.298
_cell_angle_alpha 120.00
_cell_angle_beta 90.00
_cell_angle_gamma 90.00
loop_
_atom_site_label
_atom_site_type_symbol
_atom_site_fract_x
_atom_site_fract_y
_atom_site_fract_z
_atom_site_occupancy
Tl1 Tl 0.250 0.631 0.000 1
Tl2 Tl 0.750 0.000 0.369 1
Tl3 Tl 0.750 0.631 0.631 1
Tl4 Tl 0.500 0.000 0.000 1
Tl5 Tl 0.000 0.000 0.000 1
Tl6 Tl 0.250 0.369 0.369 1
Tl7 Tl 0.250 0.000 0.631 1
Tl8 Tl 0.750 0.369 0.000 1
Ba1 Ba 0.000 0.667 0.333 1
Ba2 Ba 0.000 0.333 0.667 1
Ba3 Ba 0.750 0.292 0.292 1
Ba4 Ba 0.250 0.708 0.708 1
Ba5 Ba 0.500 0.667 0.333 1
Ba6 Ba 0.500 0.333 0.667 1
Ba7 Ba 0.250 0.292 0.000 1
Ba8 Ba 0.750 0.000 0.708 1
Ba9 Ba 0.250 0.000 0.292 1
Ba10 Ba 0.750 0.708 0.000 1

=====

Record 2
# MgZnMo2 (PBEsol, relaxed)
# Uncorrected energy   -6.53 eV per atom
# SG   P4mm
# Mass density   7.23 Mg/m³
# Total magnetization   0.000 Bohr magnetons per cell
data_MgZnMo2
_chemical_formula_sum 'Mg1 Zn1 Mo2'
_symmetry_space_group_name_H-M 'P 1'
_symmetry_Int_Tables_number 1
_symmetry_space_group_name_Hall 'P 1'
_cell_length_a 3.216
_cell_length_b 3.216
_cell_length_c 6.251
_cell_angle_alpha 90.00
_cell_angle_beta 90.00
_cell_angle_gamma 90.00
loop_
_atom_site_label
_atom_site_type_symbol
_atom_site_fract_x
_atom_site_fract_y
_atom_site_fract_z
_atom_site_occupancy
Mg1 Mg 0.500 0.500 0.742 1
Mo1 Mo 0.000 0.000 0.039 1
Mo2 Mo 0.500 0.500 0.230 1
Zn1 Zn 0.000 0.000 0.490 1

=====

Record 3
# Sc2TcIr (PBEsol, relaxed)
# Uncorrected energy   -8.79 eV per atom
# SG   Pmm2
# Mass density   9.45 Mg/m³
# Total magnetization   0.000 Bohr magnetons per cell
data_Sc2TcIr
_chemical_formula_sum 'Sc2 Tc1 Ir1'
_symmetry_space_group_name_H-M 'P 1'
_symmetry_Int_Tables_number 1
_symmetry_space_group_name_Hall 'P 1'
_cell_length_a 2.875
_cell_length_b 4.345
_cell_length_c 5.344
_cell_angle_alpha 90.00
_cell_angle_beta 90.00
_cell_angle_gamma 90.00
loop_
_atom_site_label
_atom_site_type_symbol
_atom_site_fract_x
_atom_site_fract_y
_atom_site_fract_z
_atom_site_occupancy
Sc1 Sc 0.500 0.500 0.281 1
Sc2 Sc 0.000 0.000 0.967 1
Ir1 Ir 0.500 0.500 0.768 1
Tc1 Tc 0.000 0.000 0.484 1

=====

Record 4
# MnPH7O7 (PBEsol, relaxed)
# Uncorrected energy   -6.08 eV per atom
# SG   Pbca
# Mass density   2.46 Mg/m³
# Total magnetization   40.000 Bohr magnetons per cell
data_MnPH7O7
_chemical_formula_sum 'Mn8 P8 H56 O56'
_symmetry_space_group_name_H-M 'P 1'
_symmetry_Int_Tables_number 1
_symmetry_space_group_name_Hall 'P 1'
_cell_length_a 10.005
_cell_length_b 10.476
_cell_length_c 10.567
_cell_angle_alpha 90.00
_cell_angle_beta 90.00
_cell_angle_gamma 90.00
loop_
_atom_site_label
_atom_site_type_symbol
_atom_site_fract_x
_atom_site_fract_y
_atom_site_fract_z
_atom_site_occupancy
O1 O 0.540 0.656 0.590 1
O2 O 0.293 0.754 0.417 1
O3 O 0.009 0.537 0.664 1
O4 O 0.991 0.037 0.836 1
O5 O 0.673 0.539 0.019 1
O6 O 0.460 0.344 0.410 1
O7 O 0.173 0.539 0.481 1
O8 O 0.053 0.845 0.672 1
O9 O 0.040 0.656 0.910 1
O10 O 0.755 0.591 0.803 1
O11 O 0.745 0.409 0.303 1
O12 O 0.460 0.156 0.910 1
O13 O 0.827 0.039 0.019 1
O14 O 0.682 0.137 0.356 1
O15 O 0.245 0.409 0.197 1
O16 O 0.173 0.961 0.981 1
O17 O 0.327 0.039 0.481 1
O18 O 0.682 0.363 0.856 1
O19 O 0.509 0.963 0.336 1
O20 O 0.960 0.156 0.590 1
O21 O 0.318 0.637 0.144 1
O22 O 0.707 0.246 0.583 1
O23 O 0.207 0.246 0.917 1
O24 O 0.255 0.909 0.197 1
O25 O 0.793 0.746 0.583 1
O26 O 0.293 0.746 0.917 1
O27 O 0.318 0.863 0.644 1
O28 O 0.818 0.637 0.356 1
O29 O 0.255 0.591 0.697 1
O30 O 0.553 0.655 0.328 1
O31 O 0.827 0.461 0.519 1
O32 O 0.960 0.344 0.090 1
O33 O 0.040 0.844 0.410 1
O34 O 0.947 0.155 0.328 1
O35 O 0.491 0.037 0.664 1
O36 O 0.009 0.963 0.164 1
O37 O 0.745 0.091 0.803 1
O38 O 0.182 0.137 0.144 1
O39 O 0.540 0.844 0.090 1
O40 O 0.673 0.961 0.519 1
O41 O 0.245 0.091 0.697 1
O42 O 0.447 0.155 0.172 1
O43 O 0.755 0.909 0.303 1
O44 O 0.447 0.345 0.672 1
O45 O 0.509 0.537 0.836 1
O46 O 0.947 0.345 0.828 1
O47 O 0.327 0.461 0.981 1
O48 O 0.182 0.363 0.644 1
O49 O 0.553 0.845 0.828 1
O50 O 0.707 0.254 0.083 1
O51 O 0.491 0.463 0.164 1
O52 O 0.207 0.254 0.417 1
O53 O 0.053 0.655 0.172 1
O54 O 0.818 0.863 0.856 1
O55 O 0.793 0.754 0.083 1
O56 O 0.991 0.463 0.336 1
H1 H 0.687 0.206 0.498 1
H2 H 0.347 0.340 0.669 1
H3 H 0.524 0.848 0.997 1
H4 H 0.687 0.294 0.998 1
H5 H 0.096 0.992 0.921 1
H6 H 0.976 0.152 0.497 1
H7 H 0.187 0.294 0.502 1
H8 H 0.404 0.008 0.421 1
H9 H 0.847 0.340 0.831 1
H10 H 0.258 0.834 0.937 1
H11 H 0.533 0.927 0.783 1
H12 H 0.242 0.166 0.437 1
H13 H 0.476 0.152 0.003 1
H14 H 0.033 0.927 0.717 1
H15 H 0.813 0.706 0.498 1
H16 H 0.653 0.840 0.831 1
H17 H 0.596 0.992 0.579 1
H18 H 0.258 0.666 0.437 1
H19 H 0.742 0.334 0.563 1
H20 H 0.137 0.822 0.401 1
H21 H 0.904 0.008 0.079 1
H22 H 0.153 0.660 0.169 1
H23 H 0.637 0.678 0.599 1
H24 H 0.967 0.073 0.283 1
H25 H 0.096 0.508 0.421 1
H26 H 0.242 0.334 0.937 1
H27 H 0.533 0.573 0.283 1
H28 H 0.313 0.706 0.002 1
H29 H 0.758 0.834 0.563 1
H30 H 0.024 0.652 0.003 1
H31 H 0.363 0.178 0.901 1
H32 H 0.653 0.660 0.331 1
H33 H 0.404 0.492 0.921 1
H34 H 0.137 0.678 0.901 1
H35 H 0.187 0.206 0.002 1
H36 H 0.596 0.508 0.079 1
H37 H 0.024 0.848 0.503 1
H38 H 0.976 0.348 0.997 1
H39 H 0.476 0.348 0.503 1
H40 H 0.347 0.160 0.169 1
H41 H 0.467 0.427 0.717 1
H42 H 0.813 0.794 0.998 1
H43 H 0.863 0.322 0.099 1
H44 H 0.313 0.794 0.502 1
H45 H 0.967 0.427 0.783 1
H46 H 0.863 0.178 0.599 1
H47 H 0.524 0.652 0.497 1
H48 H 0.742 0.166 0.063 1
H49 H 0.847 0.160 0.331 1
H50 H 0.904 0.492 0.579 1
H51 H 0.637 0.822 0.099 1
H52 H 0.467 0.073 0.217 1
H53 H 0.363 0.322 0.401 1
H54 H 0.033 0.573 0.217 1
H55 H 0.758 0.666 0.063 1
H56 H 0.153 0.840 0.669 1
Mn1 Mn 0.414 0.796 0.246 1
Mn2 Mn 0.086 0.296 0.246 1
Mn3 Mn 0.914 0.704 0.754 1
Mn4 Mn 0.586 0.296 0.254 1
Mn5 Mn 0.914 0.796 0.254 1
Mn6 Mn 0.086 0.204 0.746 1
Mn7 Mn 0.586 0.204 0.754 1
Mn8 Mn 0.414 0.704 0.746 1
P1 P 0.343 0.492 0.127 1
P2 P 0.343 0.008 0.627 1
P3 P 0.657 0.508 0.873 1
P4 P 0.157 0.992 0.127 1
P5 P 0.157 0.508 0.627 1
P6 P 0.843 0.492 0.373 1
P7 P 0.657 0.992 0.373 1
P8 P 0.843 0.008 0.873 1